11
Lattice="-0.888 1.665 -6.133 -1.316 -6.032 1.748 -7.112 3.254 2.792" Properties=species:S:1:pos:R:3 comment="PaTa2In2Se6, relaxed, DFT PBE" dft_energy_ev_per_atom=-6.16 density_g_cm3=7.30 magmom_total_mub_per_cell=0.0 pbc="T T T"
Pa -3.556 1.627 1.396
Ta -4.714 -1.575 0.247
Ta -4.601 0.463 -1.840
In -0.965 0.269 -4.704
In -1.238 -4.636 0.319
Se -6.761 -0.785 -1.134
Se -5.476 -0.162 2.354
Se -2.555 -0.328 -0.459
Se -5.320 2.643 -0.518
Se -3.840 -0.951 -3.946
Se -3.996 -3.755 -1.075